The following is a GGA-PBE calculation of a relaxed structure of CaNdMgPt, from Alexandria via LeMat-Bulk.

Structure (POSCAR):
```
CaNdMgPt
1.0
5.1919 0.0000 0.0000
2.5960 4.4963 0.0000
2.5960 1.4988 4.2392
Ca Nd Mg Pt
1 1 1 1
direct
0.0000 0.0000 0.0000
0.5000 0.5000 0.5000
0.2500 0.2500 0.2500
0.7500 0.7500 0.7500
```

Energy of formation = -49 kJ/mol of atoms
Size of the total moment = 0.00 Bohr magnetons per cell
Calculated total energy = -4.107 eV/atom

---

The following is a GGA-PBE calculation of a relaxed structure of Ho2ZrSc, from Alexandria via LeMat-Bulk.

Structure (POSCAR):
```
Ho2ZrSc
1.0
-0.2928 -2.9864 1.5220
2.2207 0.9716 2.3336
-7.1316 3.4301 5.3585
Sc Ho Zr
1 2 1
direct
0.5000 0.5000 0.0000
0.0000 0.0000 0.7423
0.0000 0.0000 0.2577
0.5000 0.5000 0.5000
```

Energy of formation = 8 kJ/mol of atoms
Size of the total moment = 0.00 Bohr magnetons per cell
Distance to the lowest polymorph of the same formula = 0.54 kJ/mol of atoms
Calculated total energy = -5.928 eV/atom

---

The following is a GGA-PBE calculation of a relaxed structure of TlFe2Ir, from Alexandria via LeMat-Bulk.

Structure (POSCAR):
```
TlFe2Ir
1.0
8.6982 -0.0183 -0.0108
8.2102 2.8724 -0.0108
8.2102 1.3859 2.5159
Fe Ir Tl
2 1 1
direct
0.9888 0.9888 0.9888
0.2530 0.2530 0.2530
0.5100 0.5100 0.5100
0.7481 0.7481 0.7481
```

Energy of formation = 47 kJ/mol of atoms
Size of the total moment = 5.56 Bohr magnetons per cell
Distance to the lowest polymorph of the same formula = 14.07 kJ/mol of atoms
Calculated total energy = -6.555 eV/atom

---

The following is a GGA-PBE calculation of a relaxed structure of LaURhS4, from Alexandria via LeMat-Bulk.

Structure (POSCAR):
```
LaURhS4
1.0
-4.2984 -4.5976 -1.5044
0.4561 -2.1871 5.3809
-4.1681 6.1857 2.8675
La U Rh S
2 2 2 8
direct
0.7484 0.7500 0.9411
0.2516 0.2500 0.0589
0.7573 0.7500 0.4442
0.2427 0.2500 0.5558
0.2344 0.7500 0.3314
0.7656 0.2500 0.6686
0.0342 0.5175 0.7408
0.9658 0.0175 0.2592
0.9658 0.4825 0.2592
0.0342 0.9825 0.7408
0.4429 0.7500 0.1304
0.5571 0.2500 0.8696
0.4485 0.7500 0.6115
0.5515 0.2500 0.3885
```

E_form (uncorrected) = -129 kJ per mole of atoms
Size of the total moment = 2.68 Bohr magnetons per cell
Calculated total energy = -7.061 eV/atom

---

The following is a GGA-PBE calculation of a relaxed structure of RbMg2B, from Alexandria via LeMat-Bulk.

Structure (POSCAR):
```
RbMg2B
1.0
-4.4953 5.4738 1.0608
-5.5187 -4.5625 0.1565
-4.4398 -0.0572 5.6587
Mg B Rb
4 2 2
direct
0.3746 0.1250 0.2500
0.3754 0.6250 0.2500
0.3750 0.6254 0.7500
0.8750 0.6246 0.7500
0.5000 0.5000 0.0000
0.2500 0.7500 0.5000
0.0000 0.0000 0.0000
0.7500 0.2500 0.5000
```

Energy of formation = 44 kJ/mol of atoms
Size of the total moment = 0.00 Bohr magnetons per cell
Calculated total energy = -2.248 eV/atom

---

The following is a GGA-PBE calculation of a relaxed structure of Pr8TmTh2, from Alexandria via LeMat-Bulk.

Structure (POSCAR):
```
Pr8TmTh2
1.0
5.5291 0.0000 -1.6789
-1.0214 7.5637 -3.3636
-0.1167 -0.3627 9.5594
Pr Tm Th
8 1 2
direct
0.6374 0.8435 0.2748
0.3627 0.5687 0.7254
0.1595 0.1596 0.3190
0.0000 0.2934 0.0000
0.8405 0.8404 0.6810
0.6373 0.4313 0.2746
0.3626 0.1565 0.7252
0.0000 0.7066 0.0000
0.5000 0.0000 0.0000
0.2004 0.7003 0.4008
0.7996 0.2997 0.5992
```

Energy of formation = 15 kJ/mol of atoms
Size of the total moment = 0.00 Bohr magnetons per cell
Calculated total energy = -5.073 eV/atom

---

The following is a GGA-PBE calculation of a relaxed structure of MgCrHg2, from Alexandria via LeMat-Bulk.

Structure (POSCAR):
```
MgCrHg2
1.0
-0.2448 -3.5270 4.1644
3.9404 0.6588 3.7258
-3.5795 3.3225 -2.4476
Cr Hg Mg
1 2 1
direct
0.7500 0.2500 0.5000
0.0000 0.0000 0.0000
0.2500 0.7500 0.5000
0.5000 0.5000 0.0000
```

Energy of formation = 17 kJ/mol of atoms
Size of the total moment = 4.16 Bohr magnetons per cell
Calculated total energy = -2.777 eV/atom

---

The following is a GGA-PBE calculation of a relaxed structure of ZnTcAsO6, from Alexandria via LeMat-Bulk.

Structure (POSCAR):
```
ZnTcAsO6
1.0
5.0478 0.0000 0.0000
-2.5239 4.3715 0.0000
0.0000 0.0000 9.0065
Zn Tc As O
2 2 2 12
direct
0.0000 0.0000 0.0000
0.0000 0.0000 0.5000
0.3333 0.6667 0.2500
0.6667 0.3333 0.7500
0.6667 0.3333 0.2500
0.3333 0.6667 0.7500
0.6495 0.6350 0.1355
0.9855 0.3505 0.1355
0.3505 0.9855 0.6355
0.0145 0.6495 0.8645
0.3650 0.3505 0.3645
0.9855 0.6350 0.3645
0.6350 0.9855 0.8645
0.6495 0.0145 0.3645
0.0145 0.3650 0.6355
0.3650 0.0145 0.1355
0.6350 0.6495 0.6355
0.3505 0.3650 0.8645
```

E_form (uncorrected) = -117 kJ per mole of atoms
Size of the total moment = 3.97 Bohr magnetons per cell
Calculated total energy = -6.331 eV/atom

---

The following is a GGA-PBE calculation of a relaxed structure of BaScHg2, from Alexandria via LeMat-Bulk.

Structure (POSCAR):
```
BaScHg2
1.0
5.6346 0.0000 0.0000
0.0000 5.6346 0.0000
2.8173 2.8173 9.4951
Sc Hg Ba
2 4 2
direct
0.5000 0.5000 0.0000
0.2500 0.7500 0.5000
0.5069 0.1250 0.2500
0.2431 0.6250 0.2500
0.3750 0.4931 0.7500
0.8750 0.7569 0.7500
0.0000 0.0000 0.0000
0.7500 0.2500 0.5000
```

Energy of formation = -1 kJ/mol of atoms
Size of the total moment = 0.99 Bohr magnetons per cell
Calculated total energy = -2.222 eV/atom

---

The following is a GGA-PBE calculation of a relaxed structure of SrAcHg4, from Alexandria via LeMat-Bulk.

Structure (POSCAR):
```
SrAcHg4
1.0
-5.2605 -3.6260 0.7708
0.4297 -0.0424 6.4183
-3.8515 2.4734 2.3107
Sr Ac Hg
1 1 4
direct
0.0073 0.9913 0.4982
0.4936 0.5050 0.9982
0.5838 0.9137 0.2488
0.4382 0.0985 0.7288
0.0850 0.4148 0.7474
0.9000 0.5604 0.2674
```

Energy of formation = -46 kJ/mol of atoms
Size of the total moment = 0.00 Bohr magnetons per cell
Distance to the lowest polymorph of the same formula = 0.00 kJ/mol of atoms
Calculated total energy = -1.648 eV/atom

---

The following is a GGA-PBE calculation of a relaxed structure of LaNi2Mo, from Alexandria via LeMat-Bulk.

Structure (POSCAR):
```
LaNi2Mo
1.0
4.2057 0.0096 -0.0065
2.0949 3.6469 -0.0065
2.1105 1.2248 5.1224
La Mo Ni
1 1 2
direct
0.4937 0.4937 0.5184
0.3100 0.3100 0.0699
0.0077 0.0077 0.9770
0.6885 0.6885 0.9347
```

Energy of formation = 1 kJ/mol of atoms
Size of the total moment = 0.00 Bohr magnetons per cell
Distance to the lowest polymorph of the same formula = 6.97 kJ/mol of atoms
Calculated total energy = -6.817 eV/atom

---

The following is a GGA-PBE calculation of a relaxed structure of Na2ReOs, from Alexandria via LeMat-Bulk.

Structure (POSCAR):
```
Na2ReOs
1.0
-2.6289 -3.5690 1.2829
-0.9514 -0.6777 4.4643
-4.2711 0.7329 1.5860
Re Os Na
1 1 2
direct
0.0000 0.0000 0.0000
0.5000 0.5000 0.5000
0.2500 0.2500 0.2500
0.7500 0.7500 0.7500
```

Energy of formation = 196 kJ/mol of atoms
Size of the total moment = 2.83 Bohr magnetons per cell
Distance to the lowest polymorph of the same formula = 30.91 kJ/mol of atoms
Calculated total energy = -4.548 eV/atom